[1]
Ba3SnBi, relaxed, DFT GGA-PBE; formation energy from the elements = -326.0 meV per atom; offset from the most stable computed form = 361 meV/atom; VASP energy = -15.282 eV for the cell shown; V = 55.24 Å³ per atom
1.0
-3.853 4.602 -2.526
-4.811 -4.350 -0.586
-2.102 1.520 5.974
Bi Sn Ba
1 1 3
Direct
0.500 0.500 0.500
0.000 0.000 0.000
0.000 0.500 0.000
0.000 0.000 0.500
0.500 0.000 0.000

[2]
Er8Tm2Mg, relaxed, DFT GGA-PBE; formation energy from the elements = 172.0 meV per atom; offset from the most stable computed form = 0 meV/atom; VASP energy = -45.149 eV for the cell shown; V = 30.60 Å³ per atom
1.0
6.207 1.717 1.303
2.128 9.204 2.907
2.128 5.278 8.081
Er Tm Mg
8 2 1
Direct
0.224 0.341 0.823
0.776 0.177 0.659
0.173 0.754 0.754
0.827 0.246 0.246
0.224 0.823 0.341
0.776 0.659 0.177
0.724 0.594 0.594
0.276 0.406 0.406
0.579 0.811 0.811
0.421 0.189 0.189
0.000 0.000 0.000

[3]
YMnFe2C, relaxed, DFT GGA-PBE; formation energy from the elements = 33.3 meV per atom; VASP energy = -41.616 eV for the cell shown; V = 12.61 Å³ per atom
1.0
3.986 0.000 0.000
0.000 3.986 0.000
0.000 0.000 3.968
Y C Mn Fe
1 1 1 2
Direct
0.500 0.500 0.500
0.000 0.000 0.000
0.000 0.000 0.500
0.000 0.500 0.000
0.500 0.000 0.000

[4]
Sc2ReRu, relaxed, DFT GGA-PBE; formation energy from the elements = -121.0 meV per atom; VASP energy = -34.871 eV for the cell shown; V = 16.83 Å³ per atom
1.0
-0.566 -1.761 2.238
0.432 -1.506 -2.444
8.380 -0.455 1.763
Re Ru Sc
1 1 2
Direct
0.500 0.500 0.250
0.500 0.500 0.750
0.000 0.000 0.991
0.000 0.000 0.509

[5]
CaMgCu2, relaxed, DFT GGA-PBE; formation energy from the elements = -51.3 meV per atom; VASP energy = -23.987 eV for the cell shown; V = 20.59 Å³ per atom
1.0
-5.873 3.113 3.584
1.487 -4.996 -5.464
0.111 -3.321 3.067
Ca Mg Cu
2 2 4
Direct
0.117 0.883 0.750
0.883 0.117 0.250
0.352 0.648 0.750
0.648 0.352 0.250
0.536 0.464 0.750
0.464 0.536 0.250
0.740 0.260 0.750
0.260 0.740 0.250

[6]
AlCr2Fe, relaxed, DFT GGA-PBE; formation energy from the elements = -72.6 meV per atom; offset from the most stable computed form = 69 meV/atom; VASP energy = -31.742 eV for the cell shown; V = 11.92 Å³ per atom
1.0
-0.596 1.726 3.638
-3.619 -0.320 1.836
-0.401 -2.327 3.316
Cr Fe Al
2 1 1
Direct
0.000 0.000 0.000
0.250 0.250 0.250
0.750 0.750 0.750
0.500 0.500 0.500

Q: Look up the formation energy from the elements of the fourth one.
A: -121.0 meV per atom